A plane-wave DFT calculation with PBE-GGA was carried out for crystalline SmTlHg6 at its relaxed geometry.

Output
formation energy	0.056	eV per atom
VASP energy	-1.06	eV/atom
offset from the most stable computed form	227	meV per atom
spin magnetization	0.00	μB per formula unit

The structure in POSCAR format:
```
SmTlHg6
1.0
-2.285 5.432 2.485
-6.297 0.726 0.852
-2.234 -0.992 8.344
Hg Tl Sm
6 1 1
direct
0.928 0.449 0.694 Hg
0.551 0.072 0.306 Hg
0.928 0.928 0.694 Hg
0.072 0.072 0.306 Hg
0.449 0.928 0.694 Hg
0.072 0.551 0.306 Hg
0.500 0.500 0.500 Tl
0.000 0.000 0.000 Sm
```

A plane-wave DFT calculation with PBE-GGA was carried out for crystalline As5P3Pb12 at its relaxed geometry.

Output
formation energy	0.188	eV per atom
VASP energy	-4.01	eV/atom
spin magnetization	0.00	μB per formula unit

The structure in POSCAR format:
```
As5P3Pb12
1.0
-14.110 -2.592 -4.561
3.899 -10.242 10.321
0.879 13.772 6.015
Pb P As
48 12 20
direct
0.774 0.332 0.916 Pb
0.274 0.416 0.832 Pb
0.668 0.226 0.584 Pb
0.942 0.358 0.274 Pb
0.558 0.332 0.917 Pb
0.142 0.416 0.083 Pb
0.916 0.083 0.642 Pb
0.774 0.442 0.358 Pb
0.274 0.858 0.942 Pb
0.832 0.916 0.274 Pb
0.084 0.917 0.358 Pb
0.858 0.274 0.442 Pb
0.858 0.584 0.917 Pb
0.142 0.726 0.558 Pb
0.358 0.942 0.774 Pb
0.416 0.274 0.332 Pb
0.084 0.168 0.226 Pb
0.226 0.558 0.642 Pb
0.583 0.642 0.416 Pb
0.083 0.168 0.442 Pb
0.226 0.668 0.084 Pb
0.584 0.726 0.668 Pb
0.417 0.358 0.584 Pb
0.584 0.858 0.417 Pb
0.917 0.084 0.858 Pb
0.832 0.917 0.058 Pb
0.917 0.832 0.558 Pb
0.058 0.642 0.726 Pb
0.083 0.916 0.142 Pb
0.168 0.083 0.942 Pb
0.442 0.774 0.858 Pb
0.916 0.832 0.774 Pb
0.358 0.417 0.084 Pb
0.726 0.584 0.168 Pb
0.058 0.417 0.832 Pb
0.558 0.226 0.142 Pb
0.416 0.142 0.583 Pb
0.942 0.583 0.168 Pb
0.642 0.583 0.916 Pb
0.332 0.774 0.416 Pb
0.168 0.084 0.726 Pb
0.332 0.558 0.417 Pb
0.417 0.058 0.332 Pb
0.668 0.442 0.583 Pb
0.642 0.058 0.226 Pb
0.726 0.142 0.058 Pb
0.583 0.942 0.668 Pb
0.442 0.668 0.083 Pb
0.625 0.375 0.750 P
0.125 0.875 0.750 P
0.875 0.750 0.125 P
0.750 0.375 0.125 P
0.125 0.250 0.875 P
0.250 0.125 0.375 P
0.750 0.875 0.625 P
0.375 0.625 0.250 P
0.875 0.125 0.250 P
0.375 0.750 0.625 P
0.250 0.625 0.875 P
0.625 0.250 0.375 P
0.625 0.750 0.875 As
0.875 0.625 0.750 As
0.500 0.000 0.500 As
0.375 0.125 0.750 As
0.250 0.375 0.625 As
0.000 0.500 0.500 As
0.500 0.500 0.000 As
0.875 0.250 0.625 As
0.750 0.625 0.375 As
0.125 0.375 0.250 As
0.500 0.500 0.500 As
0.500 0.000 0.000 As
0.000 0.000 0.000 As
0.125 0.750 0.375 As
0.375 0.250 0.125 As
0.625 0.875 0.250 As
0.000 0.500 0.000 As
0.750 0.125 0.875 As
0.000 0.000 0.500 As
0.250 0.875 0.125 As
```

Please write out number 2 again, unchanged.
A plane-wave DFT calculation with PBE-GGA was carried out for crystalline As5P3Pb12 at its relaxed geometry.

Output
formation energy	0.188	eV per atom
VASP energy	-4.01	eV/atom
spin magnetization	0.00	μB per formula unit

The structure in POSCAR format:
```
As5P3Pb12
1.0
-14.110 -2.592 -4.561
3.899 -10.242 10.321
0.879 13.772 6.015
Pb P As
48 12 20
direct
0.774 0.332 0.916 Pb
0.274 0.416 0.832 Pb
0.668 0.226 0.584 Pb
0.942 0.358 0.274 Pb
0.558 0.332 0.917 Pb
0.142 0.416 0.083 Pb
0.916 0.083 0.642 Pb
0.774 0.442 0.358 Pb
0.274 0.858 0.942 Pb
0.832 0.916 0.274 Pb
0.084 0.917 0.358 Pb
0.858 0.274 0.442 Pb
0.858 0.584 0.917 Pb
0.142 0.726 0.558 Pb
0.358 0.942 0.774 Pb
0.416 0.274 0.332 Pb
0.084 0.168 0.226 Pb
0.226 0.558 0.642 Pb
0.583 0.642 0.416 Pb
0.083 0.168 0.442 Pb
0.226 0.668 0.084 Pb
0.584 0.726 0.668 Pb
0.417 0.358 0.584 Pb
0.584 0.858 0.417 Pb
0.917 0.084 0.858 Pb
0.832 0.917 0.058 Pb
0.917 0.832 0.558 Pb
0.058 0.642 0.726 Pb
0.083 0.916 0.142 Pb
0.168 0.083 0.942 Pb
0.442 0.774 0.858 Pb
0.916 0.832 0.774 Pb
0.358 0.417 0.084 Pb
0.726 0.584 0.168 Pb
0.058 0.417 0.832 Pb
0.558 0.226 0.142 Pb
0.416 0.142 0.583 Pb
0.942 0.583 0.168 Pb
0.642 0.583 0.916 Pb
0.332 0.774 0.416 Pb
0.168 0.084 0.726 Pb
0.332 0.558 0.417 Pb
0.417 0.058 0.332 Pb
0.668 0.442 0.583 Pb
0.642 0.058 0.226 Pb
0.726 0.142 0.058 Pb
0.583 0.942 0.668 Pb
0.442 0.668 0.083 Pb
0.625 0.375 0.750 P
0.125 0.875 0.750 P
0.875 0.750 0.125 P
0.750 0.375 0.125 P
0.125 0.250 0.875 P
0.250 0.125 0.375 P
0.750 0.875 0.625 P
0.375 0.625 0.250 P
0.875 0.125 0.250 P
0.375 0.750 0.625 P
0.250 0.625 0.875 P
0.625 0.250 0.375 P
0.625 0.750 0.875 As
0.875 0.625 0.750 As
0.500 0.000 0.500 As
0.375 0.125 0.750 As
0.250 0.375 0.625 As
0.000 0.500 0.500 As
0.500 0.500 0.000 As
0.875 0.250 0.625 As
0.750 0.625 0.375 As
0.125 0.375 0.250 As
0.500 0.500 0.500 As
0.500 0.000 0.000 As
0.000 0.000 0.000 As
0.125 0.750 0.375 As
0.375 0.250 0.125 As
0.625 0.875 0.250 As
0.000 0.500 0.000 As
0.750 0.125 0.875 As
0.000 0.000 0.500 As
0.250 0.875 0.125 As
```

> What is the formula in the second record?

As5P3Pb12

> What is the formation energy in the first record?

0.056 eV per atom

Please write out number 1 again, unchanged.
A plane-wave DFT calculation with PBE-GGA was carried out for crystalline SmTlHg6 at its relaxed geometry.

Output
formation energy	0.056	eV per atom
VASP energy	-1.06	eV/atom
offset from the most stable computed form	227	meV per atom
spin magnetization	0.00	μB per formula unit

The structure in POSCAR format:
```
SmTlHg6
1.0
-2.285 5.432 2.485
-6.297 0.726 0.852
-2.234 -0.992 8.344
Hg Tl Sm
6 1 1
direct
0.928 0.449 0.694 Hg
0.551 0.072 0.306 Hg
0.928 0.928 0.694 Hg
0.072 0.072 0.306 Hg
0.449 0.928 0.694 Hg
0.072 0.551 0.306 Hg
0.500 0.500 0.500 Tl
0.000 0.000 0.000 Sm
```